1.
LaSbPH2: optimized geometry, PBE.

Lattice parameters (Å, degrees): 4.1860 4.1860 5.6361 90.00 90.00 90.00
Last column: nearest neighbours and their distance in Å.
Space group P4/mmm (No. 123)
Symmetry-distinct sites (fractional):
La 0.0000 0.0000 0.0000  4 P 2.96
Sb 0.5000 0.5000 0.5000  4 H 2.09
P 0.5000 0.5000 0.0000  2 Sb 2.82, 4 La 2.96
H 0.0000 0.5000 0.5000  2 Sb 2.09

2.
La8P3HSe4: optimized geometry, PBE.

Lattice parameters (Å, degrees): 8.4903 8.4903 21.0306 90.00 90.00 120.00
Last column: nearest neighbours and their distance in Å.
Space group R-3m (No. 166, hexagonal axes)
Symmetry-distinct sites (fractional):
La 0.0000 0.0000 0.2442  3 P 2.94, 3 Se 3.09
La 0.0074 0.5037 0.7541  2 P 2.94, 1 H 3.01, 3 Se 3.02-3.09
P 0.0000 0.5000 0.5000  6 La 2.94
H 0.0000 0.0000 0.5000  6 La 3.01
Se 0.0000 0.0000 0.0000  6 La 3.02
Se 0.0000 0.5000 0.0000  6 La 3.09

3.
LaSi2PH: optimized geometry, PBE.

Lattice parameters (Å, degrees): 5.1406 5.1406 3.4564 90.00 90.00 90.00
Last column: nearest neighbours and their distance in Å.
Space group P4/mmm (No. 123)
Symmetry-distinct sites (fractional):
La 0.0000 0.0000 0.0000  8 Si 3.10, 2 La 3.46
Si 0.0000 0.5000 0.5000  2 P 2.57
P 0.5000 0.5000 0.5000  2 H 1.73
H 0.5000 0.5000 0.0000  2 P 1.73

4.
LaTc2PH: optimized geometry, PBE.

Lattice parameters (Å, degrees): 4.9310 4.9310 3.6748 90.00 90.00 90.00
Last column: nearest neighbours and their distance in Å.
Space group P4/mmm (No. 123)
Symmetry-distinct sites (fractional):
La 0.0000 0.0000 0.0000  2 H 1.84
Tc 0.0000 0.5000 0.0000  2 La 2.47
P 0.5000 0.5000 0.5000  8 Tc 3.07
H 0.0000 0.0000 0.5000  2 La 1.84

5.
LaVP2H: optimized geometry, PBE.

Lattice parameters (Å, degrees): 4.3987 4.3987 5.4225 90.00 90.00 90.00
Last column: nearest neighbours and their distance in Å.
Space group P4/mmm (No. 123)
Symmetry-distinct sites (fractional):
La 0.0000 0.0000 0.0000  2 V 2.71
V 0.0000 0.0000 0.5000  4 P 2.20
P 0.0000 0.5000 0.5000  2 V 2.20
H 0.5000 0.5000 0.0000  4 La 3.11

6.
LaVPH2: optimized geometry, PBE.

Lattice parameters (Å, degrees): 4.0514 4.0514 4.6246 90.00 90.00 90.00
Last column: nearest neighbours and their distance in Å.
Space group P4/mmm (No. 123)
Symmetry-distinct sites (fractional):
La 0.0000 0.0000 0.0000  4 P 2.86, 8 H 3.07
V 0.5000 0.5000 0.5000  4 H 2.03
P 0.5000 0.5000 0.0000  2 V 2.31
H 0.0000 0.5000 0.5000  2 V 2.03

7.
LaPaH: optimized geometry, PBE.

Lattice parameters (Å, degrees): 6.6295 3.2506 11.4559 90.00 90.63 90.00
Last column: nearest neighbours and their distance in Å.
Space group C2/m (No. 12)
Symmetry-distinct sites (fractional):
La 0.1099 0.0000 0.1458  1 Pa 2.99, 2 La 3.25
Pa 0.1041 0.0000 0.6260  3 H 2.17-2.37
H 0.1215 0.5000 0.4753  1 H 1.71

8.
LaPa2H: optimized geometry, PBE.

Lattice parameters (Å, degrees): 3.2004 3.2004 28.5867 90.00 90.00 120.00
Last column: nearest neighbours and their distance in Å.
Space group R-3m (No. 166, hexagonal axes)
Symmetry-distinct sites (fractional):
La 0.0000 0.0000 0.0000  6 La 3.20, 2 Pa 3.21
Pa 0.0000 0.0000 0.1123  3 H 2.41
H 0.0000 0.0000 0.5000  6 Pa 2.41

9.
La5HPb4: optimized geometry, PBE.

Lattice parameters (Å, degrees): 10.1791 10.1791 6.5845 90.00 90.00 90.00
Last column: nearest neighbours and their distance in Å.
Space group I4 (No. 79)
Symmetry-distinct sites (fractional):
La 0.0000 0.0000 0.0000  1 H 2.53
La 0.0969 0.2855 0.4494  1 H 3.10, 5 Pb 3.26-3.32
H 0.0000 0.0000 0.3838  1 La 2.53
Pb 0.0918 0.3006 0.9462  6 La 3.22-3.32

10.
La5HPb2: optimized geometry, PBE.

Lattice parameters (Å, degrees): 10.3451 10.3616 9.3511 90.00 90.00 90.00
Last column: nearest neighbours and their distance in Å.
Space group Fmm2 (No. 42)
Symmetry-distinct sites (fractional):
La 0.0000 0.0000 0.0000  1 H 2.42
La 0.0000 0.2488 0.7551  1 H 2.58
La 0.2489 0.0000 0.7551  1 H 2.58
H 0.0000 0.0000 0.7412  5 La 2.42-2.58
Pb 0.2500 0.2500 0.0042  10 La 3.48-3.66

11.
LaH3Pb: optimized geometry, PBE.

Computed properties:
Energy above the most stable polymorph in this dataset: 0.297 eV/atom

Lattice parameters (Å, degrees): 4.2478 4.2478 4.2478 90.00 90.00 90.00
Last column: nearest neighbours and their distance in Å.
Space group Pm-3m (No. 221)
Symmetry-distinct sites (fractional):
La 0.0000 0.0000 0.0000  12 H 3.00
H 0.0000 0.5000 0.5000  2 Pb 2.12
Pb 0.5000 0.5000 0.5000  6 H 2.12

12.
La4H2Pb3: optimized geometry, PBE.

Lattice parameters (Å, degrees): 14.3164 10.1140 7.0197 90.00 104.12 90.00
Last column: nearest neighbours and their distance in Å.
Space group C2/c (No. 15)
Symmetry-distinct sites (fractional):
La 0.1084 0.2193 0.0354  2 H 2.44-2.50
La 0.1935 0.4275 0.5969  2 H 2.41-2.48
H 0.2244 0.3643 0.9371  4 La 2.41-2.50, 1 H 2.52
Pb 0.0000 0.4905 0.2500  6 La 3.27-3.65, 2 H 3.48, 2 Pb 3.52
Pb 0.1196 0.1126 0.5801  6 La 3.24-3.58, 2 H 3.38-3.58

In the order shown, the computed calculated total energy values come out to -4.401; -6.221; -4.760; -5.369; -5.656; -5.729; -5.876; -6.699; -4.690; -4.777; -3.474; -4.741 eV/atom.